Compound: Zr2Cd2Rh
Source: Alexandria
Functional: PBE-GGA
Structure: relaxed

Results
symmetry	I4/mmm (139)
formation enthalpy at 0 K	-328.2	meV per atom

a = 3.0999 Å, b = 3.0999 Å, c = 10.7723 Å
α = 98.27°, β = 98.27°, γ = 90.00°
With the nearest neighbours (Å) after each atom.
Atoms (fractional coordinates):
1 Zr 0.5859 0.5859 0.1717  4 Rh 2.84, 4 Zr 3.10
2 Zr 0.4141 0.4141 0.8283  4 Rh 2.84, 4 Zr 3.10
3 Rh 0.0000 0.0000 0.0000  8 Zr 2.84, 4 Rh 3.10
4 Cd 0.1962 0.1962 0.3924  8 Cd 3.10-3.15, 4 Zr 3.20
5 Cd 0.8038 0.8038 0.6076  8 Cd 3.10-3.15, 4 Zr 3.20